No. 1
This record from the Alexandria database describes NaFeSi3 after structural relaxation. The functional is PBE.

## Properties
uncorrected energy	-3.065	eV per atom
relative energy among the computed polymorphs	9.417	eV/f.u.
raw formation energy	1035	kJ/mol of formula units

Unit cell a=4.741 b=4.741 c=4.741 alpha=90.00 beta=90.00 gamma=90.00
Last column: magnetic moment on the atom in μB.
Atoms (fractional coordinates):
Na (0.000, 0.000, 0.000)  0.00
Si (0.000, 0.500, 0.000)  0.00
Si (0.000, 0.000, 0.500)  0.02
Si (0.500, 0.000, 0.000)  -0.02
Fe (0.500, 0.500, 0.500)  0.07


No. 2
This record from the Alexandria database describes Na3FeSi after structural relaxation. The functional is PBE.

## Properties
uncorrected energy	-2.555	eV per atom
relative energy among the computed polymorphs	0.000	eV/f.u.
raw formation energy	489	kJ/mol of formula units

Unit cell a=5.545 b=5.545 c=5.545 alpha=90.00 beta=90.00 gamma=90.00
Last column: magnetic moment on the atom in μB.
Atoms (fractional coordinates):
Na (0.000, 0.500, 0.000)  0.01
Na (0.000, 0.000, 0.500)  0.02
Na (0.500, 0.000, 0.000)  0.01
Si (0.000, 0.000, 0.000)  0.36
Fe (0.500, 0.500, 0.500)  3.41


No. 3
This record from the Alexandria database describes Na2FeSi2 after structural relaxation. The functional is PBE.

## Properties
uncorrected energy	-4.193	eV per atom
raw formation energy	95	kJ/mol of formula units

Unit cell a=6.166 b=6.166 c=4.978 alpha=90.00 beta=90.00 gamma=90.00
Last column: magnetic moment on the atom in μB.
Atoms (fractional coordinates):
Na (0.177, 0.677, 0.500)  -0.01
Na (0.677, 0.823, 0.500)  -0.01
Na (0.823, 0.323, 0.500)  -0.01
Na (0.323, 0.177, 0.500)  -0.01
Si (0.361, 0.861, 0.000)  -0.04
Si (0.861, 0.639, 0.000)  -0.03
Si (0.639, 0.139, 0.000)  -0.04
Si (0.139, 0.361, 0.000)  -0.03
Fe (0.000, 0.000, 0.000)  2.23
Fe (0.500, 0.500, 0.000)  2.14


No. 4
This record from the Alexandria database describes Na2FeSiSn after structural relaxation. The functional is PBE.

## Properties
uncorrected energy	-3.543	eV per atom
raw formation energy	271	kJ/mol of formula units

Unit cell a=5.217 b=4.442 c=5.217 alpha=90.00 beta=90.00 gamma=90.00
Last column: magnetic moment on the atom in μB.
Atoms (fractional coordinates):
Na (0.000, 0.000, 0.500)  0.00
Na (0.500, 0.000, 0.000)  0.01
Si (0.000, 0.500, 0.000)  -0.08
Sn (0.500, 0.500, 0.500)  0.03
Fe (0.000, 0.000, 0.000)  2.27


No. 5
This record from the Alexandria database describes NaV2FeSi after structural relaxation. The functional is PBE.

## Properties
uncorrected energy	-4.647	eV per atom
raw formation energy	985	kJ/mol of formula units

Unit cell a=4.389 b=4.252 c=4.389 alpha=90.00 beta=90.00 gamma=90.00
Last column: magnetic moment on the atom in μB.
Atoms (fractional coordinates):
Na (0.000, 0.000, 0.000)  0.00
Si (0.500, 0.500, 0.500)  -0.01
Fe (0.000, 0.500, 0.000)  2.62
V (0.000, 0.000, 0.500)  0.02
V (0.500, 0.000, 0.000)  -0.02


No. 6
This record from the Alexandria database describes NaYFeSi2 after structural relaxation. The functional is PBE.

## Properties
uncorrected energy	-5.376	eV per atom
raw formation energy	20	kJ/mol of formula units

Unit cell a=4.486 b=4.999 c=4.486 alpha=90.00 beta=90.00 gamma=90.00
Atoms (fractional coordinates):
Y (0.000, 0.500, 0.000)
Na (0.500, 0.500, 0.500)
Si (0.000, 0.000, 0.500)
Si (0.500, 0.000, 0.000)
Fe (0.000, 0.000, 0.000)


No. 7
This record from the Alexandria database describes NaZr2FeSi after structural relaxation. The functional is PBE.

## Properties
uncorrected energy	-4.843	eV per atom
raw formation energy	780	kJ/mol of formula units

Unit cell a=4.889 b=4.222 c=4.889 alpha=90.00 beta=90.00 gamma=90.00
Last column: magnetic moment on the atom in μB.
Atoms (fractional coordinates):
Na (0.000, 0.000, 0.000)  0.02
Si (0.500, 0.500, 0.500)  -0.01
Fe (0.000, 0.500, 0.000)  0.30
Zr (0.000, 0.000, 0.500)  0.04
Zr (0.500, 0.000, 0.000)  0.02


No. 8
This record from the Alexandria database describes NaSm2Fe after structural relaxation. The functional is PBE.

## Properties
uncorrected energy	-4.523	eV per atom
ΔE_f	0.282	eV per atom
relative energy among the computed polymorphs	0.599	eV/f.u.

Unit cell a=3.814 b=3.814 c=10.713 alpha=79.75 beta=79.75 gamma=60.00
Last column: magnetic moment on the atom in μB.
Atoms (fractional coordinates):
Na (0.000, 0.000, 0.000)  0.00
Fe (0.500, 0.500, 0.500)  0.81
Sm (0.117, 0.117, 0.649)  -0.10
Sm (0.883, 0.883, 0.351)  -0.10


No. 9
This record from the Alexandria database describes NaSm2Fe after structural relaxation. The functional is PBE.

## Properties
uncorrected energy	-4.673	eV per atom
ΔE_f	0.132	eV per atom
relative energy among the computed polymorphs	0.000	eV/f.u.

Unit cell a=3.449 b=3.449 c=9.392 alpha=90.00 beta=90.00 gamma=90.00
Last column: magnetic moment on the atom in μB.
Atoms (fractional coordinates):
Na (0.500, 0.500, 0.500)  0.00
Fe (0.500, 0.500, 0.000)  1.65
Sm (0.000, 0.000, 0.825)  -0.22
Sm (0.000, 0.000, 0.175)  -0.22


No. 10
This record from the Alexandria database describes NaFeSn after structural relaxation. The functional is PBE.

## Properties
uncorrected energy	-4.187	eV per atom
ΔE_f	0.408	eV per atom

Unit cell a=3.715 b=4.774 c=12.698 alpha=87.64 beta=81.68 gamma=38.88
Last column: magnetic moment on the atom in μB.
Atoms (fractional coordinates):
Na (0.071, 0.637, 0.832)  -0.01
Na (0.308, 0.014, 0.601)  -0.01
Sn (0.570, 0.883, 0.335)  -0.10
Sn (0.809, 0.768, 0.098)  -0.10
Fe (0.474, 0.431, 0.433)  2.44
Fe (0.905, 0.220, 0.000)  2.45


No. 11
This record from the Alexandria database describes Na2FeSn2 after structural relaxation. The functional is PBE.

## Properties
uncorrected energy	-3.693	eV per atom
ΔE_f	0.129	eV per atom

Unit cell a=6.940 b=6.940 c=5.241 alpha=90.00 beta=90.00 gamma=90.00
Last column: magnetic moment on the atom in μB.
Atoms (fractional coordinates):
Na (0.168, 0.668, 0.500)  0.00
Na (0.668, 0.832, 0.500)  0.00
Na (0.832, 0.332, 0.500)  0.00
Na (0.332, 0.168, 0.500)  0.00
Sn (0.344, 0.844, 0.000)  -0.06
Sn (0.844, 0.656, 0.000)  -0.06
Sn (0.656, 0.156, 0.000)  -0.06
Sn (0.156, 0.344, 0.000)  -0.06
Fe (0.000, 0.000, 0.000)  2.52
Fe (0.500, 0.500, 0.000)  2.52


No. 12
This record from the Alexandria database describes Na3FeSn after structural relaxation. The functional is PBE.

## Properties
uncorrected energy	-2.404	eV per atom
ΔE_f	0.881	eV per atom
relative energy among the computed polymorphs	0.218	eV/f.u.

Unit cell a=5.880 b=5.880 c=5.880 alpha=90.00 beta=90.00 gamma=90.00
Last column: magnetic moment on the atom in μB.
Atoms (fractional coordinates):
Na (0.000, 0.500, 0.000)  0.01
Na (0.000, 0.000, 0.500)  0.03
Na (0.500, 0.000, 0.000)  0.01
Sn (0.000, 0.000, 0.000)  0.48
Fe (0.500, 0.500, 0.500)  3.40


Number 1: density of states at the Fermi level 2.6771 states/eV/atom, size of the total moment 0.01 μB per atom. Number 2: density of states at the Fermi level 2.2084 states/eV/atom, size of the total moment 1.00 μB per atom. Number 3: density of states at the Fermi level 1.0521 states/eV/atom, size of the total moment 0.42 μB per atom. Number 4: density of states at the Fermi level 0.7651 states/eV/atom, size of the total moment 0.46 μB per atom. Number 5: density of states at the Fermi level 0.8726 states/eV/atom, size of the total moment 0.51 μB per atom. Number 6: density of states at the Fermi level 0.4868 states/eV/atom, size of the total moment 0.00 μB per atom. Number 7: density of states at the Fermi level 1.6690 states/eV/atom, size of the total moment 0.08 μB per atom. Number 8: density of states at the Fermi level 0.9831 states/eV/atom, size of the total moment 0.12 μB per atom. Number 9: density of states at the Fermi level 0.9185 states/eV/atom, size of the total moment 0.25 μB per atom. Number 10: density of states at the Fermi level 1.1694 states/eV/atom, size of the total moment 0.76 μB per atom. Number 11: density of states at the Fermi level 1.0649 states/eV/atom, size of the total moment 0.49 μB per atom. Number 12: density of states at the Fermi level 4.7817 states/eV/atom, size of the total moment 1.00 μB per atom.